Below is an optimized crystal structure of Ta2InPt, with properties calculated at the GGA-PBE level.

Summary:
V: 146 Å³ per cell
DOS(E_F): 5.5 states/eV/cell
raw total energy: -8.319 eV per atom
crystal system: orthorhombic
energy of formation from the pure elements: -0.79 eV per formula unit
calculated density: 15331 kg/m3
M_tot: 0.000 μB/cell

Cell: 3.775 4.405 8.752 Å, 90.00 90.00 90.00°
Space group Cmm2 (No. 35)
Asymmetric unit:
Ta 0.000 0.000 0.000 (multiplicity 2)
Ta 0.000 0.500 0.256 (multiplicity 2)
In 0.000 0.000 0.525 (multiplicity 2)
Pt 0.000 0.500 0.771 (multiplicity 2)